A plane-wave DFT calculation with PBE was carried out for crystalline CsRb2Te at its relaxed geometry.

The value obtained for the total magnetization is 0.00 μB/cell. For the density of states at the Fermi level, the calculation gives 1.0 states/eV/f.u. As for the total DFT energy (no corrections): -25.0 eV for the cell shown. The uncorrected formation energy comes out at -57.8 kJ per mole of atoms. As for the calculated density: 1.89 g/cm3. The calculated volume is 1139 Å³/cell.

The space group is R-3m (No. 166, hexagonal axes) and the conventional cell measures 5.6613, 5.6613 and 41.0387 Å, with angles of 90.00, 90.00 and 120.00 degrees. Symmetry generates all atoms from Cs at (0.0000, 0.0000, 0.0000), Rb at (0.0000, 0.0000, 0.1315) and Te at (0.0000, 0.0000, 0.5000).